# Na2MgVO4

Crystalline Na2MgVO4 at its relaxed geometry (GGA+U, Alexandria).

```
Na2MgVO4
1.0
-2.473 -3.627 3.219
5.366 0.873 0.268
-0.625 5.359 0.721
Mg O Na V
1 4 2 1
Cartesian
-0.364 2.424 2.217
0.314 0.565 2.291
0.559 3.294 0.697
0.601 -2.146 3.279
3.062 3.496 2.147
0.000 0.000 0.000
2.632 0.181 1.990
2.371 3.116 0.494
```

Properties
Magnetic moment = 0.125 μB/atom
Calculated total energy = -5.99 eV per atom
DOS(E_F) = 0.000 states/eV/atom